{"formula": "SiAu3Cl", "functional": "SCAN", "state": "PBEsol geometry", "lattice": [[4.778, 0.000, 0.000], [0.000, 4.778, 0.000], [0.000, 0.000, 4.778]], "species": ["Si", "Au", "Au", "Au", "Cl"], "frac_coords": [[0.000, 0.000, 0.000], [0.000, 0.500, 0.500], [0.500, 0.000, 0.500], [0.500, 0.500, 0.000], [0.500, 0.500, 0.500]], "sg": "No. 221", "e_tot_ev_per_atom": -43.788, "formation_energy_uncorrected_ev_per_atom": 1.305}

***

{"formula": "FeAsRu", "functional": "SCAN", "state": "PBEsol geometry", "lattice": [[0.000, 2.344, 6.078], [1.448, 0.000, 6.078], [1.448, 2.344, 0.000]], "species": ["Fe", "As", "Ru"], "frac_coords": [[0.000, 0.000, 0.000], [0.337, 0.337, 0.663], [0.667, 0.667, 0.333]], "delta_e_f_ev_per_fu": 0.95, "sg": "No. 42", "e_tot_ev_per_atom": -24.064}

***

{"formula": "Ni3TeW", "functional": "SCAN", "state": "PBEsol geometry", "lattice": [[4.502, 0.000, 0.000], [0.000, 4.502, 0.000], [0.000, 0.000, 4.502]], "species": ["Ni", "Ni", "Ni", "Te", "W"], "frac_coords": [[0.000, 0.000, 0.500], [0.000, 0.500, 0.000], [0.500, 0.000, 0.000], [0.500, 0.500, 0.500], [0.000, 0.000, 0.000]], "sg": "No. 221", "e_tot_ev_per_atom": -29.704, "formation_energy_uncorrected_ev_per_atom": 1.388}